# ReAgIr2

ReAgIr2 after structural relaxation (PBE-GGA, Alexandria).

D(E_F) (states/eV/f.u.): 2.511
VASP energy (eV per atom): -8.22
ΔE_f (meV per atom): 33
V (Å³ per atom): 15.415
Energy above the lowest structure with this stoichiometry (eV per formula unit): 0.000

Unit cell a=2.7970 b=2.7970 c=7.8817 alpha=90.00 beta=90.00 gamma=90.00
Sites, in units of the cell vectors:
1 Ag 0.5000 0.5000 0.7500
2 Ir 0.0000 0.0000 0.4782
3 Ir 0.0000 0.0000 0.0218
4 Re 0.5000 0.5000 0.2500